[1]
{"formula": "Ba3Na", "functional": "PBE", "state": "relaxed", "cell": [[4.744, 0.000, 0.000], [0.000, 7.033, 0.000], [-2.372, -3.516, 6.972]], "species": ["Na", "Ba", "Ba", "Ba"], "frac_coords": [[0.000, 0.920, 0.000], [0.274, 0.688, 0.548], [0.500, 0.418, 0.000], [0.726, 0.141, 0.452]], "formation_energy_kj_per_mol_atoms": 3, "dft_energy_ev_per_atom": -1.741, "space_group": "No. 44", "dos_ef_per_ev_cell": 6.28}

***

[2]
{"formula": "Ba5Na4", "functional": "PBE", "state": "relaxed", "cell": [[4.804, 0.004, 0.004], [2.401, 9.955, -0.659], [2.401, 0.658, 9.955]], "species": ["Ba", "Ba", "Ba", "Ba", "Ba", "Na", "Na", "Na", "Na"], "frac_coords": [[0.000, 0.984, 0.016], [0.000, 0.349, 0.651], [0.000, 0.667, 0.333], [0.316, 0.350, 0.017], [0.684, 0.983, 0.650], [0.321, 0.667, 0.692], [0.321, 0.026, 0.333], [0.679, 0.667, 0.974], [0.679, 0.308, 0.333]], "formation_energy_kj_per_mol_atoms": 3, "dft_energy_ev_per_atom": -1.626, "space_group": "No. 12", "dos_ef_per_ev_cell": 8.81}

***

[3]
{"formula": "Ba3Na4", "functional": "PBE", "state": "relaxed", "cell": [[6.041, 0.000, 0.000], [0.000, 4.468, 0.000], [-3.021, -2.234, 13.017]], "species": ["Ba", "Ba", "Ba", "Na", "Na", "Na", "Na"], "frac_coords": [[0.500, 0.000, 0.000], [0.200, 0.200, 0.400], [0.800, 0.800, 0.600], [0.067, 0.567, 0.134], [0.933, 0.433, 0.866], [0.639, 0.639, 0.279], [0.361, 0.361, 0.721]], "formation_energy_kj_per_mol_atoms": 2, "dft_energy_ev_per_atom": -1.553, "space_group": "No. 71", "dos_ef_per_ev_cell": 7.61}

***

[4]
{"formula": "Ba5Na4", "functional": "PBE", "state": "relaxed", "cell": [[-4.239, 4.941, -1.586], [-7.635, -1.640, 1.143], [-1.655, 5.885, 8.602]], "species": ["Ba", "Ba", "Ba", "Ba", "Ba", "Na", "Na", "Na", "Na"], "frac_coords": [[0.126, 0.190, 0.558], [0.874, 0.810, 0.442], [0.757, 0.612, 0.874], [0.243, 0.388, 0.126], [0.000, 0.000, 0.000], [0.531, 0.163, 0.775], [0.469, 0.837, 0.225], [0.359, 0.627, 0.655], [0.641, 0.373, 0.345]], "formation_energy_kj_per_mol_atoms": 3, "dft_energy_ev_per_atom": -1.623, "space_group": "No. 12", "dos_ef_per_ev_cell": 11.07}

***

[5]
{"formula": "Ba2NaNb", "functional": "PBE", "state": "relaxed", "cell": [[0.000, 4.349, 4.349], [4.349, 0.000, 4.349], [4.349, 4.349, 0.000]], "species": ["Na", "Nb", "Ba", "Ba"], "frac_coords": [[0.000, 0.000, 0.000], [0.500, 0.500, 0.500], [0.250, 0.250, 0.250], [0.750, 0.750, 0.750]], "formation_energy_kj_per_mol_atoms": 71, "dft_energy_ev_per_atom": -3.072, "space_group": "No. 225", "dos_ef_per_ev_cell": 4.94}

***

[6]
{"formula": "Ba2NaNb", "functional": "PBE", "state": "relaxed", "cell": [[-5.405, 7.558, -1.587], [-6.215, -5.407, -4.582], [-7.645, 0.443, 0.151]], "species": ["Na", "Na", "Nb", "Nb", "Ba", "Ba", "Ba", "Ba"], "frac_coords": [[0.500, 0.500, 0.000], [0.250, 0.750, 0.500], [0.000, 0.000, 0.000], [0.750, 0.250, 0.500], [0.639, 0.125, 0.250], [0.111, 0.625, 0.250], [0.375, 0.361, 0.750], [0.875, 0.889, 0.750]], "formation_energy_kj_per_mol_atoms": 93, "dft_energy_ev_per_atom": -2.850, "space_group": "No. 122", "dos_ef_per_ev_cell": 6.55}

***

[7]
{"formula": "Ba3NaNb", "functional": "PBE", "state": "relaxed", "cell": [[6.252, 0.000, 0.000], [0.000, 6.252, 0.000], [0.000, 0.000, 6.252]], "species": ["Na", "Nb", "Ba", "Ba", "Ba"], "frac_coords": [[0.500, 0.500, 0.500], [0.000, 0.000, 0.000], [0.000, 0.500, 0.000], [0.000, 0.000, 0.500], [0.500, 0.000, 0.000]], "formation_energy_kj_per_mol_atoms": 62, "dft_energy_ev_per_atom": -2.785, "space_group": "No. 221", "dos_ef_per_ev_cell": 6.50}

***

[8]
{"formula": "BaNa3Nb", "functional": "PBE", "state": "relaxed", "cell": [[-3.316, -0.700, 5.180], [-0.391, -6.084, -1.073], [5.212, -0.902, 3.215]], "species": ["Na", "Na", "Na", "Nb", "Ba"], "frac_coords": [[0.000, 0.500, 0.000], [0.000, 0.000, 0.500], [0.500, 0.000, 0.000], [0.500, 0.500, 0.500], [0.000, 0.000, 0.000]], "formation_energy_kj_per_mol_atoms": 157, "dft_energy_ev_per_atom": -1.559, "space_group": "No. 221", "dos_ef_per_ev_cell": 5.66}

***

- Number 1 is which compound?
  Ba3Na